meta-GGA SCAN NaBr2Cl, PBEsol geometry; total moment = 0.9 μB/f.u.; SG = R-3m; energy relative to the elements, uncorrected = -0.09 eV per formula unit
1.0
1.644 0.949 11.746
-1.644 0.949 11.746
0.000 -1.899 11.746
Na Br Cl
1 2 1
direct
0.000 0.000 0.000 Na
0.074 0.074 0.074 Br
0.926 0.926 0.926 Br
0.500 0.500 0.500 Cl